## Li2ScBiSe4 (GGA-PBE)

Data for a relaxed structure of Li2ScBiSe4.

Results
Uncorrected energy   -0.1705 Ha/atom
Energy relative to the elements, uncorrected   -26.3 kcal/mol of atoms

a b c (Å): 4.002 6.910 7.015
angles (deg): 70.21 90.00 90.00
Fractional coordinates of all 8 atoms:
Li  0.000  0.000  0.000
Li  0.500  0.000  0.500
Sc  0.000  0.500  0.500
Bi  0.500  0.500  0.000
Se  0.000  0.757  0.728
Se  0.000  0.243  0.272
Se  0.500  0.745  0.266
Se  0.500  0.255  0.734